# 1
DFT (PBE) results for an optimized crystal structure of RbLuHgS3.

a = 8.360 Å, b = 4.072 Å, c = 10.484 Å
α = 90.00°, β = 110.16°, γ = 90.00°
Space group P2_1/m (No. 11)
Asymmetric unit:
Rb (0.244, 0.250, 0.228) (multiplicity 2)
Lu (0.175, 0.750, 0.630) (multiplicity 2)
Hg (0.410, 0.250, 0.883) (multiplicity 2)
S (0.036, 0.750, 0.367) (multiplicity 2)
S (0.249, 0.750, 0.933) (multiplicity 2)
S (0.402, 0.250, 0.642) (multiplicity 2)

crystal system = monoclinic


# 2
DFT (PBE) results for an optimized crystal structure of RbLuHgSe3.

a = 18.384 Å, b = 4.147 Å, c = 9.359 Å
α = 90.00°, β = 101.82°, γ = 90.00°
Space group C2/m (No. 12)
Asymmetric unit:
Rb (0.146, 0.000, 0.068) (multiplicity 4)
Lu (0.173, 0.000, 0.576) (multiplicity 4)
Hg (0.017, 0.500, 0.722) (multiplicity 4)
Se (0.000, 0.000, 0.500) (multiplicity 2)
Se (0.000, 0.500, 0.000) (multiplicity 2)
Se (0.169, 0.500, 0.777) (multiplicity 4)
Se (0.172, 0.500, 0.373) (multiplicity 4)

crystal system = monoclinic


| no. | V (Å³/cell) | calculated total energy (eV per cell) | magnetization (Bohr magnetons per cell) |
| --- | --- | --- | --- |
| 1 | 335.1 | -50.93 | 0.0 |
| 2 | 698.3 | -91.53 | 0.0 |